Version A
This record from Alexandria describes Tb8Tm2Pu after structural relaxation. The functional is PBE.

Summary:
**D(E_F)**: 45.16 states/eV/cell

Cell and atoms, written as CIF:
```
data_Tb8Tm2Pu
_chemical_formula_sum 'Tb16 Tm4 Pu2'
_space_group_name_H-M_alt 'C 1 2/m 1'
_space_group_IT_number 12
_cell_length_a 18.862
_cell_length_b 6.839
_cell_length_c 5.608
_cell_angle_alpha 90.00
_cell_angle_beta 92.43
_cell_angle_gamma 90.00
loop_
_space_group_symop_operation_xyz
'x,y,z'
'-x,-y,-z'
'-x,y,-z'
'x,-y,z'
'x+1/2,y+1/2,z'
'-x+1/2,-y+1/2,-z'
'-x+1/2,y+1/2,-z'
'x+1/2,-y+1/2,z'
loop_
_atom_site_label
_atom_site_type_symbol
_atom_site_fract_x
_atom_site_fract_y
_atom_site_fract_z
_atom_site_occupancy
Tb1 Tb 0.046 0.000 0.239 1
Tb2 Tb 0.132 0.235 0.738 1
Tb3 Tb 0.185 0.500 0.238 1
Tm1 Tm 0.216 0.000 0.249 1
Pu1 Pu 0.000 0.500 0.000 1
```

***

Version B
This record from Alexandria describes Tb8Tm2Pu after structural relaxation. The functional is PBE.

Summary:
**D(E_F)**: 37.12 states/eV/cell

Cell and atoms, written as CIF:
```
data_Tb8Tm2Pu
_chemical_formula_sum 'Tb16 Tm4 Pu2'
_space_group_name_H-M_alt 'C 1 2/m 1'
_space_group_IT_number 12
_cell_length_a 10.966
_cell_length_b 6.892
_cell_length_c 10.825
_cell_angle_alpha 90.00
_cell_angle_beta 120.31
_cell_angle_gamma 90.00
loop_
_space_group_symop_operation_xyz
'x,y,z'
'-x,-y,-z'
'-x,y,-z'
'x,-y,z'
'x+1/2,y+1/2,z'
'-x+1/2,-y+1/2,-z'
'-x+1/2,y+1/2,-z'
'x+1/2,-y+1/2,z'
loop_
_atom_site_label
_atom_site_type_symbol
_atom_site_fract_x
_atom_site_fract_y
_atom_site_fract_z
_atom_site_occupancy
Tb1 Tb 0.012 0.249 0.269 1
Tb2 Tb 0.181 0.500 0.623 1
Tb3 Tb 0.182 0.500 0.059 1
Tm1 Tm 0.172 0.000 0.584 1
Pu1 Pu 0.000 0.000 0.000 1
```

***

Short version: version B is the most stable of them.

***

Version A
This record from Alexandria describes Tb2TmPu after structural relaxation. The functional is PBE.

Summary:
**D(E_F)**: 35.76 states/eV/cell

Cell and atoms, written as CIF:
```
data_Tb2TmPu
_chemical_formula_sum 'Tb6 Tm3 Pu3'
_space_group_name_H-M_alt 'R -3 m'
_space_group_IT_number 166
_space_group_name_Hall '-R 3 2"'
_cell_length_a 3.4336
_cell_length_b 3.4336
_cell_length_c 36.5145
_cell_angle_alpha 90.00
_cell_angle_beta 90.00
_cell_angle_gamma 120.00
loop_
_atom_site_label
_atom_site_type_symbol
_atom_site_fract_x
_atom_site_fract_y
_atom_site_fract_z
_atom_site_occupancy
Tb1 Tb 0.0000 0.0000 0.0891 1
Tm1 Tm 0.0000 0.0000 0.5000 1
Pu1 Pu 0.0000 0.0000 0.0000 1
```

***

Version B
This record from Alexandria describes Tb2TmPu after structural relaxation. The functional is PBE.

Summary:
**D(E_F)**: 33.54 states/eV/cell

Cell and atoms, written as CIF:
```
data_Tb2TmPu
_chemical_formula_sum 'Tb6 Tm3 Pu3'
_space_group_name_H-M_alt 'R 3 m'
_space_group_IT_number 160
_space_group_name_Hall 'R 3 -2"'
_cell_length_a 3.5321
_cell_length_b 3.5321
_cell_length_c 33.9222
_cell_angle_alpha 90.00
_cell_angle_beta 90.00
_cell_angle_gamma 120.00
loop_
_atom_site_label
_atom_site_type_symbol
_atom_site_fract_x
_atom_site_fract_y
_atom_site_fract_z
_atom_site_occupancy
Tb1 Tb 0.0000 0.0000 0.0000 1
Tb2 Tb 0.0000 0.0000 0.1675 1
Tm1 Tm 0.0000 0.0000 0.7500 1
Pu1 Pu 0.0000 0.0000 0.5841 1
```

***

Version C
This record from Alexandria describes Tb2TmPu after structural relaxation. The functional is PBE.

Summary:
**D(E_F)**: 42.26 states/eV/cell

Cell and atoms, written as CIF:
```
data_Tb2TmPu
_chemical_formula_sum 'Tb8 Tm4 Pu4'
_space_group_name_H-M_alt 'F m -3 m'
_space_group_IT_number 225
_space_group_name_Hall '-F 4 2 3'
_cell_length_a 7.872
_cell_length_b 7.872
_cell_length_c 7.872
_cell_angle_alpha 90.00
_cell_angle_beta 90.00
_cell_angle_gamma 90.00
loop_
_atom_site_label
_atom_site_type_symbol
_atom_site_fract_x
_atom_site_fract_y
_atom_site_fract_z
_atom_site_occupancy
Tb1 Tb 0.250 0.250 0.250 1
Tm1 Tm 0.000 0.000 0.000 1
Pu1 Pu 0.000 0.000 0.500 1
```

***

Version D
This record from Alexandria describes Tb2TmPu after structural relaxation. The functional is PBE.

Summary:
**D(E_F)**: 16.07 states/eV/cell

Cell and atoms, written as CIF:
```
data_Tb2TmPu
_chemical_formula_sum 'Tb2 Tm1 Pu1'
_space_group_name_H-M_alt 'P 4/m m m'
_space_group_IT_number 123
_space_group_name_Hall '-P 4 2'
_cell_length_a 4.953
_cell_length_b 4.953
_cell_length_c 4.945
_cell_angle_alpha 90.00
_cell_angle_beta 90.00
_cell_angle_gamma 90.00
loop_
_atom_site_label
_atom_site_type_symbol
_atom_site_fract_x
_atom_site_fract_y
_atom_site_fract_z
_atom_site_occupancy
Tb1 Tb 0.000 0.500 0.000 1
Tm1 Tm 0.000 0.000 0.500 1
Pu1 Pu 0.500 0.500 0.500 1
```

***

Short version: version B is the most stable of them.

***

Version A
This record from Alexandria describes Tb2YPu after structural relaxation. The functional is PBE.

Summary:
**D(E_F)**: 10.00 states/eV/cell

Cell and atoms, written as CIF:
```
data_Tb2YPu
_chemical_formula_sum 'Tb2 Y1 Pu1'
_space_group_name_H-M_alt 'P 4/m m m'
_space_group_IT_number 123
_space_group_name_Hall '-P 4 2'
_cell_length_a 3.510
_cell_length_b 3.510
_cell_length_c 10.036
_cell_angle_alpha 90.00
_cell_angle_beta 90.00
_cell_angle_gamma 90.00
loop_
_atom_site_label
_atom_site_type_symbol
_atom_site_fract_x
_atom_site_fract_y
_atom_site_fract_z
_atom_site_occupancy
Tb1 Tb 0.000 0.000 0.244 1
Y1 Y 0.500 0.500 0.500 1
Pu1 Pu 0.500 0.500 0.000 1
```

***

Version B
This record from Alexandria describes Tb2YPu after structural relaxation. The functional is PBE.

Summary:
**D(E_F)**: 43.10 states/eV/cell

Cell and atoms, written as CIF:
```
data_Tb2YPu
_chemical_formula_sum 'Tb8 Y4 Pu4'
_space_group_name_H-M_alt 'F m -3 m'
_space_group_IT_number 225
_space_group_name_Hall '-F 4 2 3'
_cell_length_a 7.925
_cell_length_b 7.925
_cell_length_c 7.925
_cell_angle_alpha 90.00
_cell_angle_beta 90.00
_cell_angle_gamma 90.00
loop_
_atom_site_label
_atom_site_type_symbol
_atom_site_fract_x
_atom_site_fract_y
_atom_site_fract_z
_atom_site_occupancy
Tb1 Tb 0.250 0.250 0.250 1
Y1 Y 0.000 0.000 0.000 1
Pu1 Pu 0.000 0.000 0.500 1
```

***

Short version: version A is the most stable of them.

***

Version A
This record from Alexandria describes Tb2YPu after structural relaxation. The functional is PBE.

Summary:
**D(E_F)**: 10.97 states/eV/cell

Cell and atoms, written as CIF:
```
data_Tb2YPu
_chemical_formula_sum 'Tb2 Y1 Pu1'
_space_group_name_H-M_alt 'P 4/m m m'
_space_group_IT_number 123
_space_group_name_Hall '-P 4 2'
_cell_length_a 5.769
_cell_length_b 5.769
_cell_length_c 3.720
_cell_angle_alpha 90.00
_cell_angle_beta 90.00
_cell_angle_gamma 90.00
loop_
_atom_site_label
_atom_site_type_symbol
_atom_site_fract_x
_atom_site_fract_y
_atom_site_fract_z
_atom_site_occupancy
Tb1 Tb 0.000 0.500 0.000 1
Y1 Y 0.000 0.000 0.500 1
Pu1 Pu 0.500 0.500 0.500 1
```

***

Version B
This record from Alexandria describes Tb2YPu after structural relaxation. The functional is PBE.

Summary:
**D(E_F)**: 36.44 states/eV/cell

Cell and atoms, written as CIF:
```
data_Tb2YPu
_chemical_formula_sum 'Tb6 Y3 Pu3'
_space_group_name_H-M_alt 'R -3 m'
_space_group_IT_number 166
_space_group_name_Hall '-R 3 2"'
_cell_length_a 3.4595
_cell_length_b 3.4595
_cell_length_c 36.7088
_cell_angle_alpha 90.00
_cell_angle_beta 90.00
_cell_angle_gamma 120.00
loop_
_atom_site_label
_atom_site_type_symbol
_atom_site_fract_x
_atom_site_fract_y
_atom_site_fract_z
_atom_site_occupancy
Tb1 Tb 0.0000 0.0000 0.0884 1
Y1 Y 0.0000 0.0000 0.5000 1
Pu1 Pu 0.0000 0.0000 0.0000 1
```

***

Version C
This record from Alexandria describes Tb2YPu after structural relaxation. The functional is PBE.

Summary:
**D(E_F)**: 33.35 states/eV/cell

Cell and atoms, written as CIF:
```
data_Tb2YPu
_chemical_formula_sum 'Tb6 Y3 Pu3'
_space_group_name_H-M_alt 'R 3 m'
_space_group_IT_number 160
_space_group_name_Hall 'R 3 -2"'
_cell_length_a 3.5584
_cell_length_b 3.5584
_cell_length_c 34.1167
_cell_angle_alpha 90.00
_cell_angle_beta 90.00
_cell_angle_gamma 120.00
loop_
_atom_site_label
_atom_site_type_symbol
_atom_site_fract_x
_atom_site_fract_y
_atom_site_fract_z
_atom_site_occupancy
Tb1 Tb 0.0000 0.0000 0.0000 1
Tb2 Tb 0.0000 0.0000 0.1694 1
Y1 Y 0.0000 0.0000 0.4185 1
Pu1 Pu 0.0000 0.0000 0.5843 1
```

***

Short version: version C is the most stable of them.

***

Version A
This record from Alexandria describes TbYPu2 after structural relaxation. The functional is PBE.

Summary:
**D(E_F)**: 54.31 states/eV/cell

Cell and atoms, written as CIF:
```
data_TbYPu2
_chemical_formula_sum 'Tb3 Y3 Pu6'
_space_group_name_H-M_alt 'R -3 m'
_space_group_IT_number 166
_space_group_name_Hall '-R 3 2"'
_cell_length_a 3.3857
_cell_length_b 3.3857
_cell_length_c 36.4097
_cell_angle_alpha 90.00
_cell_angle_beta 90.00
_cell_angle_gamma 120.00
loop_
_atom_site_label
_atom_site_type_symbol
_atom_site_fract_x
_atom_site_fract_y
_atom_site_fract_z
_atom_site_occupancy
Tb1 Tb 0.0000 0.0000 0.0000 1
Y1 Y 0.0000 0.0000 0.5000 1
Pu1 Pu 0.0000 0.0000 0.4136 1
```

***

Version B
This record from Alexandria describes TbYPu2 after structural relaxation. The functional is PBE.

Summary:
**D(E_F)**: 14.95 states/eV/cell

Cell and atoms, written as CIF:
```
data_TbYPu2
_chemical_formula_sum 'Tb1 Y1 Pu2'
_space_group_name_H-M_alt 'P 4/m m m'
_space_group_IT_number 123
_space_group_name_Hall '-P 4 2'
_cell_length_a 4.833
_cell_length_b 4.833
_cell_length_c 5.054
_cell_angle_alpha 90.00
_cell_angle_beta 90.00
_cell_angle_gamma 90.00
loop_
_atom_site_label
_atom_site_type_symbol
_atom_site_fract_x
_atom_site_fract_y
_atom_site_fract_z
_atom_site_occupancy
Tb1 Tb 0.000 0.000 0.000 1
Y1 Y 0.500 0.500 0.000 1
Pu1 Pu 0.000 0.500 0.500 1
```

***

Short version: version B is the most stable of them.

***

Version A
This record from Alexandria describes TbYPu2 after structural relaxation. The functional is PBE.

Summary:
**D(E_F)**: 54.60 states/eV/cell

Cell and atoms, written as CIF:
```
data_TbYPu2
_chemical_formula_sum 'Tb4 Y4 Pu8'
_space_group_name_H-M_alt 'F m -3 m'
_space_group_IT_number 225
_space_group_name_Hall '-F 4 2 3'
_cell_length_a 7.794
_cell_length_b 7.794
_cell_length_c 7.794
_cell_angle_alpha 90.00
_cell_angle_beta 90.00
_cell_angle_gamma 90.00
loop_
_atom_site_label
_atom_site_type_symbol
_atom_site_fract_x
_atom_site_fract_y
_atom_site_fract_z
_atom_site_occupancy
Tb1 Tb 0.000 0.000 0.000 1
Y1 Y 0.000 0.000 0.500 1
Pu1 Pu 0.250 0.250 0.250 1
```

***

Version B
This record from Alexandria describes TbYPu2 after structural relaxation. The functional is PBE.

Summary:
**D(E_F)**: 14.90 states/eV/cell

Cell and atoms, written as CIF:
```
data_TbYPu2
_chemical_formula_sum 'Tb1 Y1 Pu2'
_space_group_name_H-M_alt 'P 4/m m m'
_space_group_IT_number 123
_space_group_name_Hall '-P 4 2'
_cell_length_a 3.412
_cell_length_b 3.412
_cell_length_c 10.145
_cell_angle_alpha 90.00
_cell_angle_beta 90.00
_cell_angle_gamma 90.00
loop_
_atom_site_label
_atom_site_type_symbol
_atom_site_fract_x
_atom_site_fract_y
_atom_site_fract_z
_atom_site_occupancy
Tb1 Tb 0.000 0.000 0.000 1
Y1 Y 0.000 0.000 0.500 1
Pu1 Pu 0.500 0.500 0.249 1
```

***

Short version: version B is the most stable of them.